1.
# CaNdTm

A geometry-optimized CaNdTm structure (GGA-PBE, Alexandria).

Structure (POSCAR):
```
CaNdTm
1.0
-1.834 1.834 7.818
1.834 -1.834 7.818
1.834 1.834 -7.818
Ca Nd Tm
1 1 1
direct
0.000 0.000 0.000
0.679 0.679 0.000
0.328 0.328 0.000
```

DFT formation energy: 0.06 eV per atom
Fermi-level density of states: 1.50 states/eV per atom
space group: I4mm, No. 107
excess energy over the best structure of this formula in the dataset: 0.01 eV/f.u.
size of the total moment: 0.00 μB per cell


2.
# KYB2

A geometry-optimized KYB2 structure (GGA-PBE, Alexandria).

Structure (POSCAR):
```
KYB2
1.0
0.000 3.340 3.340
3.340 0.000 3.340
3.340 3.340 0.000
K Y B
1 1 2
direct
0.000 0.000 0.000
0.500 0.500 0.500
0.250 0.250 0.250
0.750 0.750 0.750
```

DFT formation energy: 1.19 eV per atom
Fermi-level density of states: 0.25 states/eV per atom
space group: Fm-3m, No. 225
excess energy over the best structure of this formula in the dataset: 0.00 eV/f.u.
size of the total moment: 0.00 μB per cell


3.
# HfNbAs2

A geometry-optimized HfNbAs2 structure (GGA-PBE, Alexandria).

Structure (POSCAR):
```
HfNbAs2
1.0
0.000 3.275 3.275
3.275 0.000 3.275
3.275 3.275 0.000
Hf Nb As
1 1 2
direct
0.000 0.000 0.000
0.500 0.500 0.500
0.250 0.250 0.250
0.750 0.750 0.750
```

DFT formation energy: -0.59 eV per atom
Fermi-level density of states: 0.58 states/eV per atom
space group: Fm-3m, No. 225
excess energy over the best structure of this formula in the dataset: 0.47 eV/f.u.
size of the total moment: 0.00 μB per cell


4.
# LaSm8Y5

A geometry-optimized LaSm8Y5 structure (GGA-PBE, Alexandria).

Structure (POSCAR):
```
LaSm8Y5
1.0
-4.798 4.798 5.240
4.798 -4.798 5.240
4.798 4.798 -5.240
La Sm Y
1 8 5
direct
0.000 0.000 0.000
0.090 0.325 0.412
0.286 0.181 0.755
0.322 0.910 0.235
0.426 0.531 0.245
0.469 0.714 0.896
0.675 0.087 0.765
0.819 0.574 0.104
0.913 0.678 0.588
0.028 0.436 0.821
0.250 0.750 0.500
0.564 0.384 0.591
0.616 0.207 0.179
0.793 0.972 0.409
```

DFT formation energy: 0.24 eV per atom
Fermi-level density of states: 1.58 states/eV per atom
space group: I-4, No. 82
size of the total moment: 0.00 μB per cell


5.
# KGaH6Ru

A geometry-optimized KGaH6Ru structure (GGA-PBE, Alexandria).

Structure (POSCAR):
```
KGaH6Ru
1.0
4.470 0.000 0.000
-2.235 3.871 0.000
0.000 0.000 6.053
K Ga H Ru
1 1 6 1
direct
0.000 0.000 0.000
0.667 0.333 0.500
0.049 0.365 0.323
0.049 0.685 0.677
0.315 0.365 0.677
0.315 0.951 0.323
0.635 0.685 0.323
0.635 0.951 0.677
0.333 0.667 0.500
```

Fermi-level density of states: 0.00 states/eV per atom
space group: P312, No. 149
total energy: -3.87 eV/atom
size of the total moment: 0.00 μB per cell


6.
# GaSiPd

A geometry-optimized GaSiPd structure (GGA-PBE, Alexandria).

Structure (POSCAR):
```
GaSiPd
1.0
-1.611 1.611 9.631
1.611 -1.611 9.631
1.611 1.611 -9.631
Ga Si Pd
2 2 2
direct
0.066 0.066 0.000
0.934 0.934 0.000
0.211 0.211 0.000
0.789 0.789 0.000
0.348 0.348 0.000
0.652 0.652 0.000
```

Fermi-level density of states: 0.56 states/eV per atom
space group: I4/mmm, No. 139
excess energy over the best structure of this formula in the dataset: 0.34 eV/f.u.
formation energy without anion corrections: -0.21 eV/atom
size of the total moment: 0.00 μB per cell